Entry 1:
Crystalline Sr2AsH2 at its relaxed geometry, computed with PBE-GGA.

Cell: 3.8790 3.8790 13.7770 Å, 90.00 90.00 90.00°
Space group I4/mmm (No. 139)
Symmetry-distinct sites (fractional):
Sr (0.0000, 0.0000, 0.1437) (multiplicity 4)
As (0.0000, 0.0000, 0.5000) (multiplicity 2)
H (0.0000, 0.5000, 0.2500) (multiplicity 4)

Calculated values
As for the total magnetic moment: 0.00 μB per formula unit. As for the total energy: -36.47 eV per cell.

=====

Entry 2:
Crystalline Sr2AsH at its relaxed geometry, computed with PBE-GGA.

Cell: 7.3589 7.3589 7.3589 Å, 90.00 90.00 90.00°
Space group Fm-3m (No. 225)
Symmetry-distinct sites (fractional):
Sr (0.2500, 0.2500, 0.2500) (multiplicity 8)
As (0.0000, 0.0000, 0.0000) (multiplicity 4)
H (0.0000, 0.0000, 0.5000) (multiplicity 4)

Calculated values
The calculation puts the offset from the most stable computed form at 161 meV/atom. As for the total magnetic moment: 0.00 μB per formula unit. As for the total energy: -57.72 eV per cell.

=====

- Which formula does entry 2 have?
  Sr2AsH

=====

- Which value of total magnetic moment does entry 1 give?
  0.00 μB per formula unit

=====

Please write out number 2 again, unchanged.
Crystalline Sr2AsH at its relaxed geometry, computed with PBE-GGA.

Cell: 7.3589 7.3589 7.3589 Å, 90.00 90.00 90.00°
Space group Fm-3m (No. 225)
Symmetry-distinct sites (fractional):
Sr (0.2500, 0.2500, 0.2500) (multiplicity 8)
As (0.0000, 0.0000, 0.0000) (multiplicity 4)
H (0.0000, 0.0000, 0.5000) (multiplicity 4)

Calculated values
The calculation puts the offset from the most stable computed form at 161 meV/atom. As for the total magnetic moment: 0.00 μB per formula unit. As for the total energy: -57.72 eV per cell.

=====

Copy entry 1 word for word.
Crystalline Sr2AsH2 at its relaxed geometry, computed with PBE-GGA.

Cell: 3.8790 3.8790 13.7770 Å, 90.00 90.00 90.00°
Space group I4/mmm (No. 139)
Symmetry-distinct sites (fractional):
Sr (0.0000, 0.0000, 0.1437) (multiplicity 4)
As (0.0000, 0.0000, 0.5000) (multiplicity 2)
H (0.0000, 0.5000, 0.2500) (multiplicity 4)

Calculated values
As for the total magnetic moment: 0.00 μB per formula unit. As for the total energy: -36.47 eV per cell.